## K2TeMo2P2O14 (GGA+U)

Data for an optimized crystal structure of K2TeMo2P2O14.

abc: 12.693 8.939 11.318
angles: 90.00 90.00 90.00
Fractional positions:
K  0.195  0.028  0.221
K  0.195  0.972  0.721
K  0.305  0.472  0.721
K  0.305  0.528  0.221
K  0.695  0.472  0.779
K  0.695  0.528  0.279
K  0.805  0.028  0.279
K  0.805  0.972  0.779
Te  0.000  0.365  0.750
Te  0.000  0.635  0.250
Te  0.500  0.135  0.250
Te  0.500  0.865  0.750
Mo  0.121  0.240  0.480
Mo  0.121  0.760  0.980
Mo  0.379  0.260  0.980
Mo  0.379  0.740  0.480
Mo  0.621  0.260  0.520
Mo  0.621  0.740  0.020
Mo  0.879  0.240  0.020
Mo  0.879  0.760  0.520
P  0.130  0.359  0.007
P  0.130  0.641  0.507
P  0.370  0.141  0.507
P  0.370  0.859  0.007
P  0.630  0.141  0.993
P  0.630  0.859  0.493
P  0.870  0.359  0.493
P  0.870  0.641  0.993
O  0.032  0.277  0.058
O  0.032  0.723  0.558
O  0.072  0.222  0.657
O  0.072  0.778  0.157
O  0.119  0.050  0.452
O  0.119  0.950  0.952
O  0.130  0.479  0.553
O  0.130  0.521  0.053
O  0.131  0.351  0.870
O  0.131  0.649  0.370
O  0.164  0.313  0.345
O  0.164  0.687  0.845
O  0.229  0.274  0.054
O  0.229  0.726  0.554
O  0.271  0.226  0.554
O  0.271  0.774  0.054
O  0.336  0.187  0.845
O  0.336  0.813  0.345
O  0.369  0.149  0.370
O  0.369  0.851  0.870
O  0.370  0.021  0.053
O  0.370  0.979  0.553
O  0.381  0.450  0.952
O  0.381  0.550  0.452
O  0.428  0.278  0.157
O  0.428  0.722  0.657
O  0.468  0.223  0.558
O  0.468  0.777  0.058
O  0.532  0.223  0.942
O  0.532  0.777  0.442
O  0.572  0.278  0.343
O  0.572  0.722  0.843
O  0.619  0.450  0.548
O  0.619  0.550  0.048
O  0.630  0.021  0.447
O  0.630  0.979  0.947
O  0.631  0.149  0.130
O  0.631  0.851  0.630
O  0.664  0.187  0.655
O  0.664  0.813  0.155
O  0.729  0.226  0.946
O  0.729  0.774  0.446
O  0.771  0.274  0.446
O  0.771  0.726  0.946
O  0.836  0.313  0.155
O  0.836  0.687  0.655
O  0.869  0.351  0.630
O  0.869  0.649  0.130
O  0.870  0.479  0.947
O  0.870  0.521  0.447
O  0.881  0.050  0.048
O  0.881  0.950  0.548
O  0.928  0.222  0.843
O  0.928  0.778  0.343
O  0.968  0.277  0.442
O  0.968  0.723  0.942

Computed properties:
- E: -6.602 eV per atom
- Symmetry: Pbcn, No. 60